(1)
An optimized crystal structure of TlMoP. Source: Alexandria via LeMat-Bulk, functional PBE.

a = 7.6154 Å, b = 7.3894 Å, c = 3.0324 Å
α = 82.56°, β = 74.19°, γ = 23.26°
Last column: nearest neighbours and their distance in Å.
Fractional positions:
1 Tl 0.0000 0.0000 0.0000  4 Tl 3.03, 2 Mo 3.08
2 Mo 0.3214 0.3214 0.6786  2 P 2.33
3 P 0.7104 0.7104 0.2896  2 Mo 2.33

## Properties
Distance to the lowest polymorph of the same formula, meV per atom: 269
Raw total energy, eV/atom: -5.841
DOS at the Fermi energy, states/eV/cell: 1.492


(2)
An optimized crystal structure of Nb12In3Pb. Source: Alexandria via LeMat-Bulk, functional PBE.

a = 5.3550 Å, b = 5.3557 Å, c = 10.6479 Å
α = 90.00°, β = 90.00°, γ = 90.00°
Last column: nearest neighbours and their distance in Å.
Fractional positions:
1 Nb 0.0000 0.0000 0.1235  2 Nb 2.63-2.66
2 Nb 0.0000 0.0000 0.3729  2 Nb 2.66-2.71
3 Nb 0.0000 0.0000 0.6271  2 Nb 2.66-2.71
4 Nb 0.0000 0.0000 0.8765  2 Nb 2.63-2.66
5 Nb 0.2524 0.5000 0.2474  2 Nb 2.65-2.70, 1 In 2.96
6 Nb 0.2524 0.5000 0.7526  2 Nb 2.65-2.70, 1 In 2.96
7 Nb 0.5000 0.2474 0.5000  2 Nb 2.65-2.71
8 Nb 0.5000 0.2540 0.0000  2 Nb 2.63-2.72
9 Nb 0.5000 0.7460 0.0000  2 Nb 2.63-2.72
10 Nb 0.5000 0.7526 0.5000  2 Nb 2.65-2.71
11 Nb 0.7476 0.5000 0.2474  2 Nb 2.65-2.70, 1 In 2.96
12 Nb 0.7476 0.5000 0.7526  2 Nb 2.65-2.70, 1 In 2.96
13 In 0.0000 0.5000 0.0000  12 Nb 2.96-2.98
14 In 0.5000 0.0000 0.2501  12 Nb 2.97-3.00
15 In 0.5000 0.0000 0.7499  12 Nb 2.97-3.00
16 Pb 0.0000 0.5000 0.5000  12 Nb 3.00-3.01

## Properties
Raw total energy, eV/atom: -8.268
DOS at the Fermi energy, states/eV/cell: 26.570


(3)
An optimized crystal structure of LiLaTmCd. Source: Alexandria via LeMat-Bulk, functional PBE.

a = 5.3770 Å, b = 5.3770 Å, c = 5.3770 Å
α = 60.00°, β = 60.00°, γ = 60.00°
Last column: nearest neighbours and their distance in Å.
Fractional positions:
1 Li 0.0000 0.0000 0.0000  4 Tm 3.29, 4 La 3.29
2 La 0.2500 0.2500 0.2500  4 Cd 3.29, 4 Li 3.29
3 Tm 0.7500 0.7500 0.7500  4 Cd 3.29, 4 Li 3.29
4 Cd 0.5000 0.5000 0.5000  4 La 3.29, 4 Tm 3.29

## Properties
Raw total energy, eV/atom: -3.163
DOS at the Fermi energy, states/eV/cell: 5.218


(4)
An optimized crystal structure of Ce3PrPu2As6. Source: Alexandria via LeMat-Bulk, functional PBE.

a = 7.2972 Å, b = 7.2972 Å, c = 7.2798 Å
α = 99.62°, β = 99.62°, γ = 120.00°
Last column: nearest neighbours and their distance in Å.
Fractional positions:
1 Ce 0.0000 0.0000 0.0000  6 As 2.94-2.99
2 Ce 0.3349 0.6651 0.0000  6 As 2.95-3.00
3 Ce 0.6651 0.3349 0.0000  6 As 2.95-3.00
4 Pr 0.5000 0.5000 0.5000  6 As 3.02
5 Pu 0.1670 0.8330 0.5000  6 As 2.96
6 Pu 0.8330 0.1670 0.5000  6 As 2.96
7 As 0.0763 0.4163 0.2494  3 Ce 2.95-3.00, 2 Pu 2.96, 1 Pr 3.02
8 As 0.2429 0.2429 0.7495  3 Ce 2.94-2.99, 2 Pu 2.96, 1 Pr 3.02
9 As 0.4163 0.0763 0.2494  3 Ce 2.95-3.00, 2 Pu 2.96, 1 Pr 3.02
10 As 0.5837 0.9237 0.7506  3 Ce 2.95-3.00, 2 Pu 2.96, 1 Pr 3.02
11 As 0.7571 0.7571 0.2505  3 Ce 2.94-2.99, 2 Pu 2.96, 1 Pr 3.02
12 As 0.9237 0.5837 0.7506  3 Ce 2.95-3.00, 2 Pu 2.96, 1 Pr 3.02

## Properties
Raw total energy, eV/atom: -7.900
DOS at the Fermi energy, states/eV/cell: 33.031


(5)
An optimized crystal structure of HoPaReOs. Source: Alexandria via LeMat-Bulk, functional PBE.

a = 4.8578 Å, b = 4.8578 Å, c = 4.8578 Å
α = 60.00°, β = 60.00°, γ = 60.00°
Last column: nearest neighbours and their distance in Å.
Fractional positions:
1 Ho 0.0000 0.0000 0.0000  4 Re 2.97, 4 Os 2.97
2 Pa 0.5000 0.5000 0.5000  4 Os 2.97, 4 Re 2.97
3 Re 0.7500 0.7500 0.7500  4 Pa 2.97, 4 Ho 2.97
4 Os 0.2500 0.2500 0.2500  4 Pa 2.97, 4 Ho 2.97

## Properties
Raw total energy, eV/atom: -9.526
DOS at the Fermi energy, states/eV/cell: 3.332


(6)
An optimized crystal structure of K2Ag2Bi. Source: Alexandria via LeMat-Bulk, functional PBE.

a = 11.3292 Å, b = 11.3292 Å, c = 11.3292 Å
α = 160.35°, β = 160.35°, γ = 27.94°
Last column: nearest neighbours and their distance in Å.
Fractional positions:
1 K 0.1123 0.1123 0.0000  4 Ag 3.59, 4 Bi 3.68, 4 K 3.87
2 K 0.8877 0.8877 0.0000  4 Ag 3.59, 4 Bi 3.68, 4 K 3.87
3 Ag 0.2500 0.7500 0.5000  4 Ag 2.73
4 Ag 0.7500 0.2500 0.5000  4 Ag 2.73
5 Bi 0.5000 0.5000 0.0000  8 K 3.68, 4 Bi 3.87

## Properties
Distance to the lowest polymorph of the same formula, meV per atom: 45
Raw total energy, eV/atom: -2.411
DOS at the Fermi energy, states/eV/cell: 1.535